# Pr2Cd3Sn, relaxed, DFT PBE
# spin magnetization: 0.00 μB/f.u.
# energy relative to the elements: -0.46 eV/atom
data_Pr2Cd3Sn
_chemical_formula_sum 'Pr16 Cd24 Sn8'
_symmetry_space_group_name_H-M 'F m m m'
_symmetry_Int_Tables_number 69
_symmetry_space_group_name_Hall '-F 2 2'
_cell_length_a 7.5468
_cell_length_b 9.9693
_cell_length_c 17.2433
_cell_angle_alpha 90.00
_cell_angle_beta 90.00
_cell_angle_gamma 90.00
loop_
_atom_site_label
_atom_site_type_symbol
_atom_site_fract_x
_atom_site_fract_y
_atom_site_fract_z
Pr1 Pr 0.2458 0.0000 0.0000
Pr2 Pr 0.2500 0.2500 0.2500
Cd1 Cd 0.0000 0.0000 0.1649
Cd2 Cd 0.0000 0.2491 0.0820
Sn1 Sn 0.0000 0.0000 0.3341

# Fe2BiOs, relaxed, DFT PBE
# spin magnetization: 0.99 μB/f.u.
# energy relative to the elements: 1.17 eV/atom
data_Fe2BiOs
_chemical_formula_sum 'Fe8 Bi4 Os4'
_symmetry_space_group_name_H-M 'I -4 2 d'
_symmetry_Int_Tables_number 122
_symmetry_space_group_name_Hall 'I -4 2bw'
_cell_length_a 5.4711
_cell_length_b 5.4711
_cell_length_c 11.3770
_cell_angle_alpha 90.00
_cell_angle_beta 90.00
_cell_angle_gamma 90.00
loop_
_atom_site_label
_atom_site_type_symbol
_atom_site_fract_x
_atom_site_fract_y
_atom_site_fract_z
Fe1 Fe 0.1984 0.2500 0.1250
Bi1 Bi 0.0000 0.0000 0.5000
Os1 Os 0.0000 0.0000 0.0000

Q: Which of these has the highest spin magnetization?
A: Fe2BiOs